a | Mg4CdHg: optimized geometry, PBE-GGA.

Geometry as extended XYZ:
```
6
Lattice="3.378 0.000 0.000 0.000 8.067 0.010 0.000 -0.007 5.039" Properties=species:S:1:pos:R:3 pbc="T T T"
Mg 0.000 1.591 2.522
Mg 1.689 2.497 0.004
Cd 0.000 0.000 0.000
Mg 1.689 5.564 5.045
Hg 1.689 4.030 2.525
Mg 0.000 6.469 2.527
```



b | Mg4CdHg: optimized geometry, PBE-GGA.

Geometry as extended XYZ:
```
6
Lattice="5.585 1.278 1.039 1.526 2.510 5.028 2.989 -3.027 3.977" Properties=species:S:1:pos:R:3 pbc="T T T"
Mg 3.788 0.285 3.767
Cd 7.575 0.571 7.533
Mg 6.579 0.924 4.287
Mg 4.550 1.540 6.280
Hg 0.000 0.000 0.000
Mg 5.281 -1.227 5.754
```



c | Mg4CdHg: optimized geometry, PBE-GGA.

Geometry as extended XYZ:
```
12
Lattice="-0.032 -6.526 1.457 5.604 0.766 3.552 -3.678 1.253 5.531" Properties=species:S:1:pos:R:3 pbc="T T T"
Mg -1.346 -0.508 5.372
Hg -1.855 -2.637 3.494
Hg 0.963 1.009 4.542
Mg 3.240 -4.000 5.169
Mg 3.256 -0.737 4.441
Mg -1.362 -3.771 6.100
Cd 2.786 -2.880 2.505
Mg 0.438 -4.383 3.394
Mg 0.453 -1.120 2.665
Cd 0.000 0.000 0.000
Mg 1.456 -0.125 7.147
Mg 1.441 -3.388 7.876
```



Stability summary: most stable a, least stable b.



a | Mg2Cd7Hg2: optimized geometry, PBE-GGA.

Geometry as extended XYZ:
```
11
Lattice="-0.649 0.042 -7.942 -6.023 -1.123 0.909 2.192 5.786 0.274" Properties=species:S:1:pos:R:3 pbc="T T T"
Cd -3.971 -0.322 -6.044
Cd -3.595 3.918 -3.882
Cd -0.884 0.787 -2.877
Cd 0.436 3.385 -6.385
Cd 0.000 0.000 0.000
Cd -4.915 1.321 -0.374
Hg -2.020 1.883 -5.648
Mg -0.449 3.859 -3.518
Cd -0.507 5.027 -0.715
Mg -4.030 0.846 -3.241
Hg -2.459 2.822 -1.111
```



b | Mg2Cd7Hg2: optimized geometry, PBE-GGA.

Geometry as extended XYZ:
```
11
Lattice="6.106 -0.691 0.655 -1.376 7.409 -1.271 1.138 -0.691 6.035" Properties=species:S:1:pos:R:3 pbc="T T T"
Mg 3.577 1.482 3.304
Cd 0.501 6.719 0.462
Hg 5.034 -0.691 1.816
Cd 0.614 2.093 2.577
Cd -0.688 3.705 -0.635
Hg 2.210 -0.691 4.874
Cd 2.618 2.093 0.407
Cd 5.367 -0.691 4.956
Cd 5.254 3.936 2.841
Mg 2.290 4.546 2.115
Cd 3.250 3.936 5.012
```



Stability summary: most stable b, least stable a.



a | Mg2Cd3Hg6: optimized geometry, PBE-GGA.

Geometry as extended XYZ:
```
11
Lattice="3.314 0.000 -0.884 0.359 10.434 1.347 0.397 2.863 8.136" Properties=species:S:1:pos:R:3 pbc="T T T"
Hg 2.475 4.629 2.625
Hg 3.711 4.914 7.253
Hg 2.543 10.508 2.878
Cd 1.440 5.746 5.394
Hg 0.359 8.383 1.345
Cd 2.630 7.551 3.204
Hg 1.527 2.790 5.720
Mg 3.321 10.971 5.794
Cd 0.180 5.217 0.673
Mg 0.748 2.326 2.804
Hg 1.594 8.669 5.973
```



b | Mg2Cd3Hg6: optimized geometry, PBE-GGA.

Geometry as extended XYZ:
```
11
Lattice="4.596 0.000 0.000 0.000 4.596 0.000 -2.298 -2.298 13.697" Properties=species:S:1:pos:R:3 pbc="T T T"
Hg 0.000 0.000 7.125
Mg 0.000 0.000 9.892
Hg 0.000 2.298 11.757
Hg 2.298 2.298 6.573
Hg 2.298 0.000 11.757
Hg 0.000 2.298 1.940
Cd 0.000 0.000 4.223
Mg 2.298 2.298 3.805
Cd 0.000 0.000 0.000
Cd 2.298 2.298 9.474
Hg 2.298 0.000 1.940
```



Stability summary: most stable a, least stable b.



a | MgCd7Hg3: optimized geometry, PBE-GGA.

Geometry as extended XYZ:
```
22
Lattice="-2.233 -0.418 -2.552 8.224 -8.175 -3.568 -6.094 -9.107 6.822" Properties=species:S:1:pos:R:3 pbc="T T T"
Cd 0.209 -7.416 1.032
Hg -1.921 -5.991 2.662
Hg -4.886 -10.422 5.981
Cd 0.898 -13.282 1.389
Cd 3.152 -14.021 -0.462
Hg 4.783 -7.279 -5.279
Cd -3.255 -3.680 1.163
Cd -1.819 -1.534 -0.444
Cd -1.001 -4.419 -0.688
Cd -3.974 -10.966 2.985
Cd 3.871 -6.735 -2.283
Mg 3.319 -9.516 -3.633
Hg 1.819 -11.709 -1.960
Cd -2.549 -8.836 1.389
Hg -0.816 -11.259 2.557
Cd 2.524 -3.956 -1.560
Cd 2.446 -8.865 -0.688
Cd 1.717 -16.167 1.146
Hg 0.713 -6.441 -1.856
Cd -0.312 -10.285 -0.330
Cd -2.627 -13.744 2.261
Mg -3.422 -8.184 4.334
```



b | MgCd7Hg3: optimized geometry, PBE-GGA.

Geometry as extended XYZ:
```
11
Lattice="-5.941 -0.430 4.957 -3.100 -3.677 -4.034 3.781 -2.557 4.309" Properties=species:S:1:pos:R:3 pbc="T T T"
Cd -4.686 -3.691 -0.423
Cd 1.992 -2.789 3.486
Cd 0.076 -1.493 1.303
Cd -1.556 -3.358 -0.627
Hg -4.291 -3.452 4.007
Mg -1.196 -3.125 3.768
Cd -3.097 -1.805 1.646
Hg -2.404 -4.728 6.157
Cd -2.748 -5.002 1.787
Hg -2.744 -1.617 6.020
Cd 0.421 -4.652 1.442
```



Stability summary: most stable b, least stable a.